Version i
Below is PrDy2Y3 after structural relaxation, with properties calculated at the PBE level.

Values from the calculation:
DOS(E_F) = 40.7 states/eV/cell

Geometry as CIF:
```
data_PrDy2Y3
_space_group_name_H-M_alt 'C 1 2/c 1'
_space_group_IT_number 15
_cell_length_a 9.0176
_cell_length_b 9.8576
_cell_length_c 8.9928
_cell_angle_alpha 90.00
_cell_angle_beta 102.50
_cell_angle_gamma 90.00
loop_
_space_group_symop_operation_xyz
'x,y,z'
'-x,-y,-z'
'-x,y,-z+1/2'
'x,-y,z+1/2'
'x+1/2,y+1/2,z'
'-x+1/2,-y+1/2,-z'
'-x+1/2,y+1/2,-z+1/2'
'x+1/2,-y+1/2,z+1/2'
loop_
_atom_site_label
_atom_site_type_symbol
_atom_site_fract_x
_atom_site_fract_y
_atom_site_fract_z
_atom_site_occupancy
Pr1 Pr 0.0000 0.1001 0.2500 1
Dy1 Dy 0.1245 0.2519 0.6241 1
Y1 Y 0.0000 0.4294 0.2500 1
Y2 Y 0.2403 0.0825 0.9910 1
```

***

Version ii
Below is PrDy2Y3 after structural relaxation, with properties calculated at the PBE level.

Values from the calculation:
DOS(E_F) = 38.7 states/eV/cell

Geometry as CIF:
```
data_PrDy2Y3
_space_group_name_H-M_alt 'C 1 2/m 1'
_space_group_IT_number 12
_cell_length_a 23.2360
_cell_length_b 3.5276
_cell_length_c 10.3020
_cell_angle_alpha 90.00
_cell_angle_beta 108.40
_cell_angle_gamma 90.00
loop_
_space_group_symop_operation_xyz
'x,y,z'
'-x,-y,-z'
'-x,y,-z'
'x,-y,z'
'x+1/2,y+1/2,z'
'-x+1/2,-y+1/2,-z'
'-x+1/2,y+1/2,-z'
'x+1/2,-y+1/2,z'
loop_
_atom_site_label
_atom_site_type_symbol
_atom_site_fract_x
_atom_site_fract_y
_atom_site_fract_z
_atom_site_occupancy
Pr1 Pr 0.1841 0.0000 0.0415 1
Dy1 Dy 0.0690 0.5000 0.1408 1
Dy2 Dy 0.1927 0.0000 0.3740 1
Y1 Y 0.0599 0.0000 0.4443 1
Y2 Y 0.0672 0.5000 0.7658 1
Y3 Y 0.1956 0.0000 0.7157 1
```

***

version i (54 meV/atom below the next structure)